Entry 1:
Entry from Alexandria via LeMat-Bulk: a relaxed FeHgAu2 crystal (PBE).

Symmetry: P2/m (10)
Magnetization: 0.7359 μB per atom
D(E_F): 3.46 states/eV per cell
ΔH_f (0 K): 279 meV per atom

Unit cell a=2.918 b=5.030 c=5.984 alpha=54.07 beta=90.00 gamma=90.00
Site moments in Bohr magnetons follow the coordinates.
Element x y z (fractional)
1 Au 0.000 0.000 0.000  0.02
2 Au 0.500 0.500 0.000  0.01
3 Fe 0.500 0.500 0.500  2.95
4 Hg 0.000 0.000 0.500  -0.03


Entry 2:
Entry from Alexandria via LeMat-Bulk: a relaxed TaGaSe3 crystal (PBE).

Formation energy from raw total energies: -0.283 eV per atom
Symmetry: Pm-3m (221)
Magnetization: 0.0000 μB per atom
D(E_F): 2.28 states/eV per cell

Unit cell a=5.072 b=5.072 c=5.072 alpha=90.00 beta=90.00 gamma=90.00
Element x y z (fractional)
1 Ga 0.500 0.500 0.500
2 Se 0.000 0.500 0.000
3 Se 0.000 0.000 0.500
4 Se 0.500 0.000 0.000
5 Ta 0.000 0.000 0.000


Entry 3:
Entry from Alexandria via LeMat-Bulk: a relaxed Mo2HPdW crystal (PBE).

Relative energy among the computed polymorphs: 2 meV/atom
Symmetry: P4/mmm (123)
Magnetization: 0.0000 μB per atom
D(E_F): 2.38 states/eV per cell

Unit cell a=4.035 b=4.035 c=3.962 alpha=90.00 beta=90.00 gamma=90.00
Element x y z (fractional)
1 H 0.000 0.000 0.000
2 Mo 0.000 0.500 0.000
3 Mo 0.500 0.000 0.000
4 Pd 0.000 0.000 0.500
5 W 0.500 0.500 0.500


Entry 4:
Entry from Alexandria via LeMat-Bulk: a relaxed Li2LaHg2 crystal (PBE).

Relative energy among the computed polymorphs: 10 meV/atom
Symmetry: C2/m (12)
Magnetization: 0.0000 μB per atom
D(E_F): 3.32 states/eV per cell
ΔH_f (0 K): -364 meV per atom

Unit cell a=5.215 b=5.215 c=5.304 alpha=68.44 beta=68.44 gamma=58.52
Element x y z (fractional)
1 Li 0.887 0.387 0.737
2 Li 0.113 0.613 0.263
3 La 0.500 0.000 0.000
4 Hg 0.752 0.252 0.319
5 Hg 0.248 0.748 0.681